Here is crystalline Nb2FeW at its relaxed geometry from the Alexandria database. Energies are from PBE.

space group: I-42d (122)
density of states at the Fermi level: 10.7 states/eV per cell
E_tot: -78.0 eV/cell

Cell lengths 5.683, 5.683, 5.683 Å; angles 102.67, 102.67, 124.15 degrees
Fractional positions:
Nb  0.098  0.625  0.973
Nb  0.375  0.348  0.473
Nb  0.652  0.125  0.027
Nb  0.875  0.902  0.527
Fe  0.000  0.000  0.000
Fe  0.750  0.250  0.500
W  0.250  0.750  0.500
W  0.500  0.500  0.000

Here is crystalline NbFe2W2 at its relaxed geometry from the Alexandria database. Energies are from PBE.

space group: P4/mbm (127)
density of states at the Fermi level: 9.4 states/eV per cell
E_tot: -104.2 eV/cell

Cell lengths 7.147, 7.147, 2.821 Å; angles 90.00, 90.00, 90.00 degrees
Fractional positions:
Nb  0.000  0.000  0.000
Nb  0.500  0.500  0.000
Fe  0.131  0.369  0.000
Fe  0.369  0.869  0.000
Fe  0.631  0.131  0.000
Fe  0.869  0.631  0.000
W  0.164  0.664  0.500
W  0.336  0.164  0.500
W  0.664  0.836  0.500
W  0.836  0.336  0.500

Here is crystalline NbFe8W3 at its relaxed geometry from the Alexandria database. Energies are from PBE.

space group: P3m1 (156)
density of states at the Fermi level: 13.4 states/eV per cell
E_tot: -117.2 eV/cell

Cell lengths 4.701, 4.701, 7.818 Å; angles 90.00, 90.00, 120.00 degrees
Fractional positions:
Nb  0.000  0.000  0.000
Fe  0.163  0.327  0.681
Fe  0.163  0.837  0.681
Fe  0.333  0.667  0.431
Fe  0.333  0.667  0.932
Fe  0.504  0.009  0.184
Fe  0.504  0.496  0.184
Fe  0.673  0.837  0.681
Fe  0.991  0.496  0.184
W  0.000  0.000  0.367
W  0.667  0.333  0.500
W  0.667  0.333  0.856

Here is crystalline NbFeW2 at its relaxed geometry from the Alexandria database. Energies are from PBE.

space group: Fm-3m (225)
density of states at the Fermi level: 6.4 states/eV per cell
E_tot: -43.5 eV/cell

Cell lengths 4.418, 4.418, 4.418 Å; angles 60.00, 60.00, 60.00 degrees
Fractional positions:
Nb  0.000  0.000  0.000
Fe  0.500  0.500  0.500
W  0.250  0.250  0.250
W  0.750  0.750  0.750

Here is crystalline Nb2FeW at its relaxed geometry from the Alexandria database. Energies are from PBE.

space group: P4/mmm (123)
density of states at the Fermi level: 3.5 states/eV per cell
E_tot: -41.6 eV/cell

Cell lengths 3.195, 3.195, 6.257 Å; angles 90.00, 90.00, 90.00 degrees
Fractional positions:
Nb  0.000  0.000  0.243
Nb  0.000  0.000  0.757
Fe  0.500  0.500  0.000
W  0.500  0.500  0.500

Here is crystalline NbFeW2 at its relaxed geometry from the Alexandria database. Energies are from PBE.

space group: R-3m (166)
density of states at the Fermi level: 4.3 states/eV per cell
E_tot: -41.9 eV/cell

Cell lengths 9.715, 9.715, 9.715 Å; angles 16.52, 16.52, 16.52 degrees
Fractional positions:
Nb  0.000  0.000  0.000
Fe  0.500  0.500  0.500
W  0.094  0.094  0.094
W  0.906  0.906  0.906

Here is crystalline NbFeW2 at its relaxed geometry from the Alexandria database. Energies are from PBE.

space group: I-42d (122)
density of states at the Fermi level: 9.4 states/eV per cell
E_tot: -83.1 eV/cell

Cell lengths 5.672, 5.672, 5.672 Å; angles 101.81, 101.81, 126.20 degrees
Fractional positions:
Nb  0.000  0.000  0.000
Nb  0.750  0.250  0.500
Fe  0.250  0.750  0.500
Fe  0.500  0.500  0.000
W  0.162  0.625  0.037
W  0.375  0.412  0.537
W  0.588  0.125  0.963
W  0.875  0.838  0.463

Here is crystalline Nb6FeW at its relaxed geometry from the Alexandria database. Energies are from PBE.

space group: I4/mmm (139)
density of states at the Fermi level: 6.4 states/eV per cell
E_tot: -81.9 eV/cell

Cell lengths 7.305, 7.305, 7.305 Å; angles 143.53, 143.53, 52.53 degrees
Fractional positions:
Nb  0.120  0.620  0.500
Nb  0.248  0.248  0.000
Nb  0.380  0.880  0.500
Nb  0.620  0.120  0.500
Nb  0.752  0.752  0.000
Nb  0.880  0.380  0.500
Fe  0.500  0.500  0.000
W  0.000  0.000  0.000

Here is crystalline NbFe9W2 at its relaxed geometry from the Alexandria database. Energies are from PBE.

space group: R-3m (166)
density of states at the Fermi level: 11.8 states/eV per cell
E_tot: -111.8 eV/cell

Cell lengths 8.101, 8.101, 8.101 Å; angles 33.78, 33.78, 33.78 degrees
Fractional positions:
Nb  0.000  0.000  0.000
Fe  0.077  0.589  0.589
Fe  0.335  0.335  0.335
Fe  0.411  0.411  0.923
Fe  0.411  0.923  0.411
Fe  0.500  0.500  0.500
Fe  0.589  0.077  0.589
Fe  0.589  0.589  0.077
Fe  0.665  0.665  0.665
Fe  0.923  0.411  0.411
W  0.140  0.140  0.140
W  0.860  0.860  0.860

Here is crystalline Zr2NbFeW at its relaxed geometry from the Alexandria database. Energies are from PBE.

space group: P4/mmm (123)
density of states at the Fermi level: 7.6 states/eV per cell
E_tot: -45.1 eV/cell

Cell lengths 4.754, 4.754, 4.502 Å; angles 90.00, 90.00, 90.00 degrees
Fractional positions:
Zr  0.000  0.500  0.000
Zr  0.500  0.000  0.000
Nb  0.000  0.000  0.500
Fe  0.500  0.500  0.000
W  0.500  0.500  0.500

Here is crystalline ZrNbFe2W at its relaxed geometry from the Alexandria database. Energies are from PBE.

space group: P4/mmm (123)
density of states at the Fermi level: 8.1 states/eV per cell
E_tot: -41.5 eV/cell

Cell lengths 4.390, 4.390, 4.991 Å; angles 90.00, 90.00, 90.00 degrees
Fractional positions:
Zr  0.000  0.000  0.000
Nb  0.500  0.500  0.000
Fe  0.000  0.500  0.500
Fe  0.500  0.000  0.500
W  0.000  0.000  0.500

Here is crystalline YNbFe2 at its relaxed geometry from the Alexandria database. Energies are from PBE.

space group: I-42d (122)
density of states at the Fermi level: 11.7 states/eV per cell
E_tot: -62.5 eV/cell

Cell lengths 5.732, 5.732, 5.732 Å; angles 105.04, 105.04, 118.76 degrees
Fractional positions:
Y  0.000  0.000  0.000
Y  0.750  0.250  0.500
Nb  0.250  0.750  0.500
Nb  0.500  0.500  0.000
Fe  0.161  0.125  0.536
Fe  0.375  0.839  0.964
Fe  0.589  0.625  0.464
Fe  0.875  0.411  0.036